No. 1
# InMoOs

InMoOs at its PBEsol-relaxed geometry (SCAN, Alexandria via LeMat-Bulk).

## Properties
* distance to the lowest polymorph of the same formula: 1.1176 eV/atom
* total moment: 0.0 Bohr magnetons per cell
* DOS(E_F): 4.77 states/eV per cell
* calculated volume: 18.827 Å³/atom
* SG: F-43m
* DFT formation energy: 1532 meV/atom
* E: -45.186 eV per atom

```
3
Lattice="4.307 0.000 0.000 2.153 3.730 0.000 2.153 1.243 3.516" Properties=species:S:1:pos:R:3 pbc="T T T"
In 2.153 1.243 0.879
Mo 0.000 0.000 0.000
Os 4.307 2.486 1.758
```

---

No. 2
# Ti2HSe

Ti2HSe at its PBEsol-relaxed geometry (SCAN, Alexandria via LeMat-Bulk).

## Properties
* total moment: 0.0 Bohr magnetons per cell
* DOS(E_F): 6.38 states/eV per cell
* calculated volume: 12.537 Å³/atom
* SG: I-42d
* E: -14.552 eV per atom

```
8
Lattice="-3.644 -2.112 -2.825 -0.740 -0.882 4.939 -0.069 5.012 -0.768" Properties=species:S:1:pos:R:3 pbc="T T T"
H -2.192 -1.497 1.057
H -2.953 0.702 -1.268
Se 0.000 0.000 0.000
Se -1.501 1.316 2.614
Ti -3.524 -0.384 1.801
Ti -2.025 1.654 0.074
Ti -0.912 3.811 1.577
Ti -2.445 -1.045 -0.759
```

---

No. 3
# NbRhS2Cl

NbRhS2Cl at its PBEsol-relaxed geometry (SCAN, Alexandria via LeMat-Bulk).

## Properties
* total moment: 1.9 Bohr magnetons per cell
* uncorrected formation energy: 0.089 eV/atom
* DOS(E_F): 2.18 states/eV per cell
* calculated volume: 21.118 Å³/atom
* SG: P4/mmm
* E: -18.738 eV per atom

```
5
Lattice="4.690 0.000 0.000 0.000 4.745 0.000 0.000 0.000 4.745" Properties=species:S:1:pos:R:3 pbc="T T T"
Nb 0.000 0.000 0.000
Rh 2.345 2.372 2.372
S 0.000 0.000 2.372
S 0.000 2.372 0.000
Cl 2.345 0.000 0.000
```

---

No. 4
# La4TaCu

La4TaCu at its PBEsol-relaxed geometry (SCAN, Alexandria via LeMat-Bulk).

## Properties
* total moment: 2.4 Bohr magnetons per cell
* DOS(E_F): 6.32 states/eV per cell
* calculated volume: 27.250 Å³/atom
* SG: F-43m
* DFT formation energy: 988 meV/atom
* E: -41.379 eV per atom

```
6
Lattice="6.138 0.000 0.000 3.069 5.315 0.000 3.069 1.772 5.011" Properties=species:S:1:pos:R:3 pbc="T T T"
Cu 0.000 0.000 0.000
La 4.610 2.661 1.882
La 6.138 3.544 4.377
La 7.666 2.661 1.882
La 6.138 5.308 1.882
Ta 9.207 5.315 3.759
```

---

No. 5
# KBa2TaTe

KBa2TaTe at its PBEsol-relaxed geometry (SCAN, Alexandria via LeMat-Bulk).

## Properties
* total moment: 0.0 Bohr magnetons per cell
* uncorrected formation energy: 0.329 eV/atom
* DOS(E_F): 3.79 states/eV per cell
* calculated volume: 42.144 Å³/atom
* SG: P4/mmm
* E: -37.923 eV per atom

```
5
Lattice="5.354 0.000 0.000 0.000 6.274 0.000 0.000 0.000 6.274" Properties=species:S:1:pos:R:3 pbc="T T T"
K 2.677 3.137 3.137
Te 2.677 0.000 0.000
Ba 0.000 0.000 3.137
Ba 0.000 3.137 0.000
Ta 0.000 0.000 0.000
```

---

No. 6
# TcNiIr

TcNiIr at its PBEsol-relaxed geometry (SCAN, Alexandria via LeMat-Bulk).

## Properties
* total moment: 0.0 Bohr magnetons per cell
* DOS(E_F): 2.21 states/eV per cell
* calculated volume: 12.809 Å³/atom
* SG: Imm2
* DFT formation energy: -181 meV/atom
* E: -40.958 eV per atom

```
3
Lattice="-0.106 -2.585 0.671 3.603 -0.322 -0.676 -0.968 2.387 3.715" Properties=species:S:1:pos:R:3 pbc="T T T"
Ni 2.012 -1.140 1.245
Ir 2.529 -0.522 3.706
Tc 0.519 0.620 2.469
```

---

No. 7
# KGaNiBi2

KGaNiBi2 at its PBEsol-relaxed geometry (SCAN, Alexandria via LeMat-Bulk).

## Properties
* total moment: 0.0 Bohr magnetons per cell
* DOS(E_F): 4.11 states/eV per cell
* calculated volume: 28.146 Å³/atom
* SG: P4/mmm
* DFT formation energy: 246 meV/atom
* E: -39.355 eV per atom

```
5
Lattice="5.032 0.000 0.000 0.000 5.032 0.000 0.000 0.000 5.558" Properties=species:S:1:pos:R:3 pbc="T T T"
Ni 0.000 0.000 0.000
K 0.000 0.000 2.779
Bi 0.000 2.516 0.000
Bi 2.516 0.000 0.000
Ga 2.516 2.516 2.779
```

---

No. 8
# TaCdTc2

TaCdTc2 at its PBEsol-relaxed geometry (SCAN, Alexandria via LeMat-Bulk).

## Properties
* total moment: 0.0 Bohr magnetons per cell
* DOS(E_F): 2.00 states/eV per cell
* calculated volume: 16.339 Å³/atom
* SG: P4mm
* DFT formation energy: 104 meV/atom
* E: -41.676 eV per atom

```
4
Lattice="-1.322 -1.328 2.177 1.672 -2.303 -0.389 5.308 2.999 5.054" Properties=species:S:1:pos:R:3 pbc="T T T"
Cd 2.583 1.460 2.459
Ta 4.278 0.503 4.800
Tc 0.143 0.081 0.136
Tc 1.308 -1.175 1.973
```

---

No. 9
# SiMoRu

SiMoRu at its PBEsol-relaxed geometry (SCAN, Alexandria via LeMat-Bulk).

## Properties
* total moment: 0.0 Bohr magnetons per cell
* uncorrected formation energy: -0.081 eV/atom
* DOS(E_F): 2.48 states/eV per cell
* calculated volume: 13.763 Å³/atom
* SG: P3m1
* E: -26.657 eV per atom

```
3
Lattice="-1.017 2.526 -0.516 -1.208 -2.234 -1.110 -3.692 -0.471 4.967" Properties=species:S:1:pos:R:3 pbc="T T T"
Mo -0.001 0.000 0.001
Ru -3.506 0.630 2.549
Si -2.411 -0.809 0.792
```

---

No. 10
# AuIN3

AuIN3 at its PBEsol-relaxed geometry (SCAN, Alexandria via LeMat-Bulk).

## Properties
* total moment: 2.1 Bohr magnetons per cell
* uncorrected formation energy: 2.604 eV/atom
* DOS(E_F): 2.67 states/eV per cell
* calculated volume: 12.910 Å³/atom
* SG: Pm-3m
* E: -24.151 eV per atom

```
5
Lattice="4.011 0.000 0.000 0.000 4.011 0.000 0.000 0.000 4.011" Properties=species:S:1:pos:R:3 pbc="T T T"
I 0.000 0.000 0.000
Au 2.006 2.006 2.006
N 0.000 2.006 0.000
N 0.000 0.000 2.006
N 2.006 0.000 0.000
```

---

No. 11
# ZrCrTc3

ZrCrTc3 at its PBEsol-relaxed geometry (SCAN, Alexandria via LeMat-Bulk).

## Properties
* total moment: 0.0 Bohr magnetons per cell
* DOS(E_F): 2.53 states/eV per cell
* calculated volume: 16.745 Å³/atom
* SG: Pm-3m
* DFT formation energy: 576 meV/atom
* E: -30.276 eV per atom

```
5
Lattice="4.375 0.000 0.000 0.000 4.375 0.000 0.000 0.000 4.375" Properties=species:S:1:pos:R:3 pbc="T T T"
Cr 0.000 0.000 0.000
Tc 0.000 2.187 0.000
Tc 0.000 0.000 2.187
Tc 2.187 0.000 0.000
Zr 2.187 2.187 2.187
```

---

No. 12
# Fe2Ir

Fe2Ir at its PBEsol-relaxed geometry (SCAN, Alexandria via LeMat-Bulk).

## Properties
* total moment: 0.3 Bohr magnetons per cell
* DOS(E_F): 5.46 states/eV per cell
* calculated volume: 11.382 Å³/atom
* SG: C2/m
* DFT formation energy: 62 meV/atom
* E: -35.724 eV per atom

```
6
Lattice="-0.861 0.723 -2.322 1.246 -4.561 -0.448 -5.630 -0.226 2.017" Properties=species:S:1:pos:R:3 pbc="T T T"
Fe -3.637 -3.749 -1.252
Fe -0.368 -0.780 -1.539
Fe -4.877 -3.285 0.786
Fe -1.609 -0.315 0.498
Ir -1.485 -2.686 -0.285
Ir -3.760 -1.379 -0.468
```

---

No. 13
# LaYF2

LaYF2 at its PBEsol-relaxed geometry (SCAN, Alexandria via LeMat-Bulk).

## Properties
* distance to the lowest polymorph of the same formula: 0.0326 eV/atom
* total moment: 2.8 Bohr magnetons per cell
* uncorrected formation energy: -2.558 eV/atom
* DOS(E_F): 6.51 states/eV per cell
* calculated volume: 21.864 Å³/atom
* SG: I-42d
* E: -22.065 eV per atom

```
8
Lattice="5.544 0.000 0.000 0.000 5.544 0.000 -2.772 -2.772 5.691" Properties=species:S:1:pos:R:3 pbc="T T T"
Y 2.772 0.000 2.846
Y 2.772 2.772 0.000
F 1.593 4.158 1.423
F 3.951 1.386 1.423
F -1.386 -1.179 4.268
F 1.386 1.179 4.268
La 0.000 2.772 2.846
La 0.000 0.000 0.000
```

---

No. 14
# La2ReSe

La2ReSe at its PBEsol-relaxed geometry (SCAN, Alexandria via LeMat-Bulk).

## Properties
* total moment: 0.0 Bohr magnetons per cell
* uncorrected formation energy: -0.587 eV/atom
* DOS(E_F): 4.00 states/eV per cell
* calculated volume: 23.722 Å³/atom
* SG: P4/mmm
* E: -44.933 eV per atom

```
4
Lattice="-1.968 2.009 2.132 1.972 -0.991 2.754 4.677 5.887 -1.231" Properties=species:S:1:pos:R:3 pbc="T T T"
La 3.562 4.483 -0.937
La 1.115 1.404 -0.293
Re 0.002 0.509 2.443
Se 2.340 3.453 1.828
```